Record 1
This record from Alexandria via LeMat-Bulk describes an optimized crystal structure of CaAuF4. The functional is PBE.

Output
The value obtained for the formation energy without anion corrections is -2.2321 eV/atom. As for the calculated total energy: -4.3595 eV per atom.

The structure in CIF format:
```
data_CaAuF4
_chemical_formula_sum 'Ca2 Au2 F8'
_cell_length_a 6.391
_cell_length_b 6.391
_cell_length_c 6.391
_cell_angle_alpha 111.27
_cell_angle_beta 111.27
_cell_angle_gamma 105.92
_symmetry_space_group_name_H-M 'P 1'
_symmetry_Int_Tables_number 1
loop_
_symmetry_equiv_pos_as_xyz
'x,y,z'
loop_
_atom_site_label
_atom_site_type_symbol
_atom_site_fract_x
_atom_site_fract_y
_atom_site_fract_z
Ca1 Ca 0.000 0.000 0.000
Ca2 Ca 0.750 0.250 0.500
Au1 Au 0.250 0.750 0.500
Au2 Au 0.500 0.500 0.000
F1 F 0.298 0.977 0.321
F2 F 0.656 0.977 0.679
F3 F 0.727 0.906 0.179
F4 F 0.452 0.273 0.179
F5 F 0.727 0.548 0.821
F6 F 0.023 0.344 0.321
F7 F 0.094 0.273 0.821
F8 F 0.023 0.702 0.679
```



Record 2
This record from Alexandria via LeMat-Bulk describes an optimized crystal structure of Ca3AuF. The functional is PBE.

Output
The value obtained for the formation energy without anion corrections is -1.2928 eV/atom. The value obtained for the excess energy over the best structure of this formula in the dataset is 0 meV/atom. As for the calculated total energy: -3.5235 eV per atom.

The structure in CIF format:
```
data_Ca3AuF
_chemical_formula_sum 'Ca3 Au1 F1'
_cell_length_a 4.896
_cell_length_b 4.896
_cell_length_c 4.896
_cell_angle_alpha 90.00
_cell_angle_beta 90.00
_cell_angle_gamma 90.00
_symmetry_space_group_name_H-M 'P 1'
_symmetry_Int_Tables_number 1
loop_
_symmetry_equiv_pos_as_xyz
'x,y,z'
loop_
_atom_site_label
_atom_site_type_symbol
_atom_site_fract_x
_atom_site_fract_y
_atom_site_fract_z
Ca1 Ca 0.000 0.500 0.000
Ca2 Ca 0.000 0.000 0.500
Ca3 Ca 0.500 0.000 0.000
Au1 Au 0.500 0.500 0.500
F1 F 0.000 0.000 0.000
```



Record 3
This record from Alexandria via LeMat-Bulk describes an optimized crystal structure of CaAu2F. The functional is PBE.

Output
The value obtained for the formation energy without anion corrections is -0.6898 eV/atom. The value obtained for the excess energy over the best structure of this formula in the dataset is 518 meV/atom. As for the calculated total energy: -3.2967 eV per atom.

The structure in CIF format:
```
data_CaAu2F
_chemical_formula_sum 'Ca1 Au2 F1'
_cell_length_a 4.842
_cell_length_b 4.842
_cell_length_c 4.842
_cell_angle_alpha 60.00
_cell_angle_beta 60.00
_cell_angle_gamma 60.00
_symmetry_space_group_name_H-M 'P 1'
_symmetry_Int_Tables_number 1
loop_
_symmetry_equiv_pos_as_xyz
'x,y,z'
loop_
_atom_site_label
_atom_site_type_symbol
_atom_site_fract_x
_atom_site_fract_y
_atom_site_fract_z
Ca1 Ca 0.500 0.500 0.500
Au1 Au 0.250 0.250 0.250
Au2 Au 0.750 0.750 0.750
F1 F 0.000 0.000 0.000
```



Record 4
This record from Alexandria via LeMat-Bulk describes an optimized crystal structure of CaAuF3. The functional is PBE.

Output
The value obtained for the formation energy without anion corrections is -1.6212 eV/atom. The value obtained for the excess energy over the best structure of this formula in the dataset is 618 meV/atom. As for the calculated total energy: -3.7997 eV per atom.

The structure in CIF format:
```
data_CaAuF3
_chemical_formula_sum 'Ca1 Au1 F3'
_cell_length_a 4.565
_cell_length_b 4.565
_cell_length_c 4.565
_cell_angle_alpha 90.00
_cell_angle_beta 90.00
_cell_angle_gamma 90.00
_symmetry_space_group_name_H-M 'P 1'
_symmetry_Int_Tables_number 1
loop_
_symmetry_equiv_pos_as_xyz
'x,y,z'
loop_
_atom_site_label
_atom_site_type_symbol
_atom_site_fract_x
_atom_site_fract_y
_atom_site_fract_z
Ca1 Ca 0.500 0.500 0.500
Au1 Au 0.000 0.000 0.000
F1 F 0.000 0.500 0.000
F2 F 0.000 0.000 0.500
F3 F 0.500 0.000 0.000
```



Record 5
This record from Alexandria via LeMat-Bulk describes an optimized crystal structure of CaAu2F. The functional is PBE.

Output
The value obtained for the formation energy without anion corrections is -1.2079 eV/atom. The value obtained for the excess energy over the best structure of this formula in the dataset is 0 meV/atom. As for the calculated total energy: -3.8148 eV per atom.

The structure in CIF format:
```
data_CaAu2F
_chemical_formula_sum 'Ca2 Au4 F2'
_cell_length_a 8.350
_cell_length_b 8.350
_cell_length_c 6.415
_cell_angle_alpha 49.39
_cell_angle_beta 49.39
_cell_angle_gamma 90.00
_symmetry_space_group_name_H-M 'P 1'
_symmetry_Int_Tables_number 1
loop_
_symmetry_equiv_pos_as_xyz
'x,y,z'
loop_
_atom_site_label
_atom_site_type_symbol
_atom_site_fract_x
_atom_site_fract_y
_atom_site_fract_z
Ca1 Ca 0.000 0.000 0.000
Ca2 Ca 0.750 0.250 0.500
Au1 Au 0.597 0.125 0.250
Au2 Au 0.153 0.625 0.250
Au3 Au 0.375 0.403 0.750
Au4 Au 0.875 0.847 0.750
F1 F 0.500 0.500 0.000
F2 F 0.250 0.750 0.500
```



Record 6
This record from Alexandria via LeMat-Bulk describes an optimized crystal structure of Ca12Au3F5. The functional is PBE.

Output
The value obtained for the formation energy without anion corrections is -1.6204 eV/atom. As for the calculated total energy: -3.7808 eV per atom.

The structure in CIF format:
```
data_Ca12Au3F5
_chemical_formula_sum 'Ca48 Au12 F20'
_cell_length_a 13.884
_cell_length_b 13.884
_cell_length_c 13.884
_cell_angle_alpha 109.47
_cell_angle_beta 109.47
_cell_angle_gamma 109.47
_symmetry_space_group_name_H-M 'P 1'
_symmetry_Int_Tables_number 1
loop_
_symmetry_equiv_pos_as_xyz
'x,y,z'
loop_
_atom_site_label
_atom_site_type_symbol
_atom_site_fract_x
_atom_site_fract_y
_atom_site_fract_z
Au1 Au 0.750 0.375 0.125
Au2 Au 0.875 0.750 0.125
Au3 Au 0.375 0.750 0.625
Au4 Au 0.250 0.125 0.375
Au5 Au 0.875 0.125 0.250
Au6 Au 0.375 0.625 0.250
Au7 Au 0.625 0.375 0.750
Au8 Au 0.125 0.875 0.750
Au9 Au 0.750 0.875 0.625
Au10 Au 0.625 0.250 0.375
Au11 Au 0.125 0.250 0.875
Au12 Au 0.250 0.625 0.875
F1 F 0.125 0.375 0.250
F2 F 0.000 0.500 0.000
F3 F 0.000 0.000 0.000
F4 F 0.375 0.250 0.125
F5 F 0.500 0.000 0.500
F6 F 0.500 0.500 0.000
F7 F 0.125 0.750 0.375
F8 F 0.750 0.125 0.875
F9 F 0.750 0.625 0.375
F10 F 0.375 0.125 0.750
F11 F 0.625 0.875 0.250
F12 F 0.500 0.500 0.500
F13 F 0.500 0.000 0.000
F14 F 0.000 0.000 0.500
F15 F 0.250 0.375 0.625
F16 F 0.250 0.875 0.125
F17 F 0.000 0.500 0.500
F18 F 0.875 0.250 0.625
F19 F 0.625 0.750 0.875
F20 F 0.875 0.625 0.750
Ca1 Ca 0.713 0.122 0.026
Ca2 Ca 0.313 0.526 0.404
Ca3 Ca 0.974 0.378 0.287
Ca4 Ca 0.526 0.213 0.122
Ca5 Ca 0.590 0.713 0.687
Ca6 Ca 0.974 0.596 0.187
Ca7 Ca 0.313 0.787 0.410
Ca8 Ca 0.096 0.910 0.122
Ca9 Ca 0.596 0.974 0.687
Ca10 Ca 0.713 0.590 0.187
Ca11 Ca 0.787 0.474 0.378
Ca12 Ca 0.813 0.904 0.026
Ca13 Ca 0.122 0.713 0.526
Ca14 Ca 0.378 0.404 0.090
Ca15 Ca 0.090 0.904 0.378
Ca16 Ca 0.410 0.122 0.596
Ca17 Ca 0.090 0.187 0.213
Ca18 Ca 0.474 0.687 0.096
Ca19 Ca 0.813 0.910 0.287
Ca20 Ca 0.122 0.410 0.096
Ca21 Ca 0.378 0.974 0.787
Ca22 Ca 0.596 0.622 0.410
Ca23 Ca 0.904 0.813 0.526
Ca24 Ca 0.787 0.313 0.910
Ca25 Ca 0.404 0.378 0.590
Ca26 Ca 0.096 0.187 0.474
Ca27 Ca 0.213 0.687 0.090
Ca28 Ca 0.187 0.090 0.713
Ca29 Ca 0.622 0.026 0.213
Ca30 Ca 0.878 0.590 0.904
Ca31 Ca 0.526 0.313 0.904
Ca32 Ca 0.590 0.878 0.404
Ca33 Ca 0.910 0.813 0.787
Ca34 Ca 0.910 0.096 0.622
Ca35 Ca 0.878 0.287 0.474
Ca36 Ca 0.187 0.096 0.974
Ca37 Ca 0.622 0.596 0.910
Ca38 Ca 0.404 0.026 0.313
Ca39 Ca 0.287 0.410 0.813
Ca40 Ca 0.213 0.526 0.622
Ca41 Ca 0.904 0.090 0.878
Ca42 Ca 0.687 0.213 0.590
Ca43 Ca 0.474 0.787 0.878
Ca44 Ca 0.026 0.404 0.813
Ca45 Ca 0.410 0.287 0.313
Ca46 Ca 0.026 0.622 0.713
Ca47 Ca 0.687 0.474 0.596
Ca48 Ca 0.287 0.878 0.974
```



Record 7
This record from Alexandria via LeMat-Bulk describes an optimized crystal structure of CaAuF3. The functional is PBE.

Output
The value obtained for the formation energy without anion corrections is -2.2391 eV/atom. The value obtained for the excess energy over the best structure of this formula in the dataset is 0 meV/atom. As for the calculated total energy: -4.4177 eV per atom.

The structure in CIF format:
```
data_CaAuF3
_chemical_formula_sum 'Ca1 Au1 F3'
_cell_length_a 4.413
_cell_length_b 4.413
_cell_length_c 4.413
_cell_angle_alpha 90.00
_cell_angle_beta 90.00
_cell_angle_gamma 90.00
_symmetry_space_group_name_H-M 'P 1'
_symmetry_Int_Tables_number 1
loop_
_symmetry_equiv_pos_as_xyz
'x,y,z'
loop_
_atom_site_label
_atom_site_type_symbol
_atom_site_fract_x
_atom_site_fract_y
_atom_site_fract_z
Ca1 Ca 0.000 0.000 0.000
Au1 Au 0.500 0.500 0.500
F1 F 0.000 0.500 0.000
F2 F 0.000 0.000 0.500
F3 F 0.500 0.000 0.000
```



Record 8
This record from Alexandria via LeMat-Bulk describes an optimized crystal structure of CaH2AuF8. The functional is PBE.

Output
As for the calculated total energy: -4.0940 eV per atom.

The structure in CIF format:
```
data_CaH2AuF8
_chemical_formula_sum 'Ca1 H2 Au1 F8'
_cell_length_a 5.191
_cell_length_b 4.686
_cell_length_c 7.077
_cell_angle_alpha 89.58
_cell_angle_beta 100.35
_cell_angle_gamma 74.48
_symmetry_space_group_name_H-M 'P 1'
_symmetry_Int_Tables_number 1
loop_
_symmetry_equiv_pos_as_xyz
'x,y,z'
loop_
_atom_site_label
_atom_site_type_symbol
_atom_site_fract_x
_atom_site_fract_y
_atom_site_fract_z
Ca1 Ca 0.000 0.000 0.500
H1 H 0.468 0.273 0.656
H2 H 0.532 0.727 0.344
Au1 Au 0.000 0.000 0.000
F1 F 0.264 0.775 0.281
F2 F 0.754 0.747 0.971
F3 F 0.805 0.210 0.197
F4 F 0.736 0.225 0.719
F5 F 0.246 0.253 0.029
F6 F 0.195 0.790 0.803
F7 F 0.722 0.692 0.427
F8 F 0.278 0.308 0.573
```



Record 9
This record from Alexandria via LeMat-Bulk describes an optimized crystal structure of CaHfAu2F. The functional is PBE.

Output
The value obtained for the formation energy without anion corrections is -1.1017 eV/atom. As for the calculated total energy: -5.1779 eV per atom.

The structure in CIF format:
```
data_CaHfAu2F
_chemical_formula_sum 'Ca1 Hf1 Au2 F1'
_cell_length_a 5.439
_cell_length_b 4.059
_cell_length_c 5.439
_cell_angle_alpha 90.00
_cell_angle_beta 90.00
_cell_angle_gamma 90.00
_symmetry_space_group_name_H-M 'P 1'
_symmetry_Int_Tables_number 1
loop_
_symmetry_equiv_pos_as_xyz
'x,y,z'
loop_
_atom_site_label
_atom_site_type_symbol
_atom_site_fract_x
_atom_site_fract_y
_atom_site_fract_z
Hf1 Hf 0.000 0.000 0.000
Ca1 Ca 0.500 0.500 0.500
Au1 Au 0.000 0.000 0.500
Au2 Au 0.500 0.000 0.000
F1 F 0.000 0.500 0.000
```



Record 10
This record from Alexandria via LeMat-Bulk describes an optimized crystal structure of KCa2AuF. The functional is PBE.

Output
The value obtained for the formation energy without anion corrections is -0.3701 eV/atom. As for the calculated total energy: -2.4199 eV per atom.

The structure in CIF format:
```
data_KCa2AuF
_chemical_formula_sum 'K1 Ca2 Au1 F1'
_cell_length_a 6.211
_cell_length_b 4.353
_cell_length_c 6.211
_cell_angle_alpha 90.00
_cell_angle_beta 90.00
_cell_angle_gamma 90.00
_symmetry_space_group_name_H-M 'P 1'
_symmetry_Int_Tables_number 1
loop_
_symmetry_equiv_pos_as_xyz
'x,y,z'
loop_
_atom_site_label
_atom_site_type_symbol
_atom_site_fract_x
_atom_site_fract_y
_atom_site_fract_z
Ca1 Ca 0.000 0.000 0.500
Ca2 Ca 0.500 0.000 0.000
Au1 Au 0.500 0.500 0.500
K1 K 0.000 0.000 0.000
F1 F 0.000 0.500 0.000
```



Record 11
This record from Alexandria via LeMat-Bulk describes an optimized crystal structure of Li2CaAuF8. The functional is PBE.

Output
The value obtained for the formation energy without anion corrections is -2.3122 eV/atom. As for the calculated total energy: -4.3186 eV per atom.

The structure in CIF format:
```
data_Li2CaAuF8
_chemical_formula_sum 'Li2 Ca1 Au1 F8'
_cell_length_a 4.716
_cell_length_b 4.895
_cell_length_c 7.038
_cell_angle_alpha 87.55
_cell_angle_beta 86.72
_cell_angle_gamma 86.65
_symmetry_space_group_name_H-M 'P 1'
_symmetry_Int_Tables_number 1
loop_
_symmetry_equiv_pos_as_xyz
'x,y,z'
loop_
_atom_site_label
_atom_site_type_symbol
_atom_site_fract_x
_atom_site_fract_y
_atom_site_fract_z
Li1 Li 0.479 0.475 0.705
Li2 Li 0.521 0.525 0.295
Ca1 Ca 0.000 0.000 0.500
Au1 Au 0.000 0.000 0.000
F1 F 0.202 0.786 0.236
F2 F 0.714 0.726 0.023
F3 F 0.802 0.204 0.223
F4 F 0.798 0.214 0.764
F5 F 0.286 0.274 0.977
F6 F 0.198 0.796 0.777
F7 F 0.674 0.696 0.507
F8 F 0.326 0.304 0.493
```



Q: Which value of calculated total energy does entry 7 give?
A: -4.4177 eV per atom



Q: Look up the calculated total energy of the tenth one.
A: -2.4199 eV per atom



Q: The lowest calculated total energy belongs to which entry?
A: CaHfAu2F



Q: What is the formula in the fifth record?
A: CaAu2F